No. 1
5
Lattice="5.613 0.000 0.000 0.000 5.613 0.000 0.000 0.000 3.869" Properties=species:S:1:pos:R:3 comment="IrAuI2O, relaxed, DFT PBE-GGA" e_form_raw_ev_per_atom=1.131 pbc="T T T"
I 0.000 2.806 0.000
I 2.806 0.000 0.000
Ir 2.806 2.806 1.934
Au 0.000 0.000 0.000
O 0.000 0.000 1.934


No. 2
5
Lattice="-2.956 -3.780 3.099 3.023 -3.272 -1.108 3.122 1.327 4.597" Properties=species:S:1:pos:R:3 comment="PIrAuI2, relaxed, DFT PBE-GGA" e_form_raw_ev_per_atom=1.560 pbc="T T T"
I 1.561 0.663 2.298
I -1.478 -1.890 1.550
P 1.511 -1.636 -0.554
Ir 1.594 -2.863 3.294
Au 0.000 0.000 0.000


No. 3
16
Lattice="-2.040 -7.956 2.068 -0.300 -2.297 -9.133 7.221 3.393 2.835" Properties=species:S:1:pos:R:3 comment="Pm8Ir3AuI4, relaxed, DFT PBE-GGA" e_form_raw_ev_per_atom=-0.955 pbc="T T T"
Pm 6.172 -0.232 -3.082
Pm 2.724 -1.851 -4.435
Pm 3.273 -1.041 -0.776
Pm 5.198 -4.029 -2.095
Pm -0.317 -2.831 -2.135
Pm 1.608 -5.819 -3.454
Pm 2.157 -5.008 0.205
Pm -1.291 -6.627 -1.148
Ir -1.170 -5.127 -3.533
Ir 2.441 -3.430 -2.115
Ir 3.461 0.548 -3.149
Au -0.150 -1.148 -4.566
I -1.020 -3.978 1.034
I 2.590 -2.281 2.451
I 0.000 0.000 0.000
I 3.611 1.697 1.417


No. 4
16
Lattice="8.579 0.000 0.000 0.000 9.525 0.668 -4.289 -4.288 6.066" Properties=species:S:1:pos:R:3 comment="Pr8Ir3AuI4, relaxed, DFT PBE-GGA" e_form_raw_ev_per_atom=-0.942 pbc="T T T"
Pr -2.049 2.465 6.226
Pr 0.000 4.514 3.327
Pr 0.000 0.664 3.500
Pr 2.049 2.465 6.226
Pr 2.241 2.771 0.509
Pr 4.289 4.572 3.234
Pr 4.289 0.722 3.407
Pr 6.338 2.771 0.509
Ir 4.289 4.763 0.334
Ir 2.145 2.618 3.367
Ir -2.145 2.618 3.367
Au 0.000 4.763 0.334
I 4.289 0.000 0.000
I 2.145 -2.144 3.033
I 0.000 0.000 0.000
I -2.145 -2.144 3.033


Number 1: uncorrected energy -2.908 eV per atom. Number 2: uncorrected energy -2.570 eV per atom. Number 3: uncorrected energy -5.584 eV per atom. Number 4: uncorrected energy -5.585 eV per atom.